[1]
Compound: AsBrCl
Source: the Alexandria database
Functional: PBEsol
Structure: relaxed

POSCAR file:
```
AsBrCl
1.0
4.135 0.000 0.000
-2.068 3.581 0.000
0.000 0.000 5.554
As Br Cl
1 1 1
direct
0.000 0.000 0.000
0.333 0.667 0.757
0.667 0.333 0.212
```

Distance to the lowest polymorph of the same formula, eV/f.u.: 0.000
Raw total energy, eV per cell: -9.18
SG: No. 156

[2]
Compound: Mg2ZnBiBr
Source: the Alexandria database
Functional: PBEsol
Structure: relaxed

POSCAR file:
```
Mg2ZnBiBr
1.0
5.207 0.000 0.000
0.000 5.207 0.000
0.000 0.000 4.976
Mg Zn Bi Br
2 1 1 1
direct
0.000 0.500 0.000
0.500 0.000 0.000
0.000 0.000 0.000
0.500 0.500 0.500
0.000 0.000 0.500
```

Raw total energy, eV per cell: -9.88
SG: No. 123

[3]
Compound: EuAg2Ge2
Source: the Alexandria database
Functional: PBEsol
Structure: relaxed

POSCAR file:
```
EuAg2Ge2
1.0
-2.148 2.148 5.395
2.148 -2.148 5.395
2.148 2.148 -5.395
Eu Ag Ge
1 2 2
direct
0.000 0.000 0.000
0.250 0.750 0.500
0.750 0.250 0.500
0.388 0.388 0.000
0.612 0.612 0.000
```

Raw total energy, eV per cell: -29.17
SG: No. 139
Energy relative to the elements, eV per atom: -0.42

[4]
Compound: Mg7Rh
Source: the Alexandria database
Functional: PBEsol
Structure: relaxed

POSCAR file:
```
Mg7Rh
1.0
0.000 4.268 4.268
4.268 0.000 4.268
4.268 4.268 0.000
Mg Rh
7 1
direct
0.000 0.000 0.000
0.000 0.000 0.500
0.000 0.500 0.000
0.000 0.500 0.500
0.500 0.000 0.000
0.500 0.000 0.500
0.500 0.500 0.000
0.500 0.500 0.500
```

Raw total energy, eV per cell: -20.49
SG: No. 225
Energy relative to the elements, eV per atom: -0.04

[5]
Compound: LiCuAg2
Source: the Alexandria database
Functional: PBEsol
Structure: relaxed

POSCAR file:
```
LiCuAg2
1.0
2.763 0.000 0.000
0.000 3.694 0.000
0.000 0.000 5.665
Li Cu Ag
1 1 2
direct
0.000 0.000 0.000
0.000 0.000 0.500
0.500 0.500 0.253
0.500 0.500 0.747
```

Raw total energy, eV per cell: -13.12
SG: No. 47
Energy relative to the elements, eV per atom: -0.05

[6]
Compound: YAgHg2
Source: the Alexandria database
Functional: PBEsol
Structure: relaxed

POSCAR file:
```
YAgHg2
1.0
-2.446 2.446 3.497
2.446 -2.446 3.497
2.446 2.446 -3.497
Y Ag Hg
1 1 2
direct
0.000 0.000 0.000
0.750 0.250 0.500
0.250 0.750 0.500
0.500 0.500 0.000
```

Raw total energy, eV per cell: -12.86
SG: No. 119
Energy relative to the elements, eV per atom: -0.40